The following is a PBE calculation of a relaxed LiSmZn crystal, from the Alexandria database.

The structure belongs to space group I4mm (No. 107); the cell edges are 3.707, 3.707 and 9.612 Å and the angles 90.00°, 90.00° and 90.00°. Symmetry generates all atoms from Li at (0.000, 0.000, 0.000), Sm at (0.000, 0.000, 0.306) and Zn at (0.000, 0.000, 0.634).

As for the final energy: -2.7299 eV/atom. For the formation enthalpy at 0 K, the calculation gives -9 kJ per mole of atoms. The calculation puts the calculated volume at 132.1 Å³ per cell. Its theoretical density is 5.599 g cm⁻³.


The following is a PBE calculation of a relaxed Li2SmZn9 crystal, from the Alexandria database.

The structure belongs to space group R-3m (No. 166, hexagonal axes); the cell edges are 5.2782, 5.2782 and 25.0894 Å and the angles 90.00°, 90.00° and 120.00°. Symmetry generates all atoms from Li at (0.0000, 0.0000, 0.1434), Sm at (0.0000, 0.0000, 0.0000), Zn at (0.0000, 0.0000, 0.3344), Zn at (0.0000, 0.0000, 0.5000) and Zn at (0.0065, 0.5033, 0.9137).

As for the final energy: -1.8812 eV/atom. For the formation enthalpy at 0 K, the calculation gives -21 kJ per mole of atoms. The calculation puts the calculated volume at 605.3 Å³ per cell. Its theoretical density is 6.196 g cm⁻³.


The following is a PBE calculation of a relaxed Li3Sm2Zn4 crystal, from the Alexandria database.

The structure belongs to space group Cmce (No. 64); the cell edges are 5.775, 15.421 and 7.973 Å and the angles 90.00°, 90.00° and 90.00°. Symmetry generates all atoms from Li at (0.000, 0.000, 0.000), Li at (0.250, 0.220, 0.250), Sm at (0.000, 0.114, 0.583), Zn at (0.000, 0.179, 0.974) and Zn at (0.250, 0.052, 0.250).

As for the final energy: -2.4236 eV/atom. For the formation enthalpy at 0 K, the calculation gives -16 kJ per mole of atoms. The calculation puts the calculated volume at 710.1 Å³ per cell. Its theoretical density is 5.455 g cm⁻³.


The following is a PBE calculation of a relaxed LiSmZn crystal, from the Alexandria database.

The structure belongs to space group P-6m2 (No. 187); the cell edges are 4.7986, 4.7986 and 3.2602 Å and the angles 90.00°, 90.00° and 120.00°. Symmetry generates all atoms from Li at (0.0000, 0.0000, 0.0000), Sm at (0.6667, 0.3333, 0.5000) and Zn at (0.3333, 0.6667, 0.0000).

As for the final energy: -2.7719 eV/atom. For the formation enthalpy at 0 K, the calculation gives -13 kJ per mole of atoms. The calculation puts the calculated volume at 65.0 Å³ per cell. Its theoretical density is 5.688 g cm⁻³.


The following is a PBE calculation of a relaxed Li2SmZn6 crystal, from the Alexandria database.

The structure belongs to space group Immm (No. 71); the cell edges are 3.284, 7.614 and 13.004 Å and the angles 90.00°, 90.00° and 90.00°. Symmetry generates all atoms from Li at (0.000, 0.000, 0.141), Sm at (0.000, 0.500, 0.000), Zn at (0.000, 0.185, 0.321) and Zn at (0.000, 0.338, 0.500).

As for the final energy: -1.9609 eV/atom. For the formation enthalpy at 0 K, the calculation gives -16 kJ per mole of atoms. The calculation puts the calculated volume at 325.2 Å³ per cell. Its theoretical density is 5.685 g cm⁻³.


The following is a PBE calculation of a relaxed LiSmZn17 crystal, from the Alexandria database.

The structure belongs to space group R3m (No. 160, hexagonal axes); the cell edges are 8.9805, 8.9805 and 13.1994 Å and the angles 90.00°, 90.00° and 120.00°. Symmetry generates all atoms from Li at (0.0000, 0.0000, 0.0000), Sm at (0.0000, 0.0000, 0.3075), Zn at (0.0000, 0.0000, 0.5479), Zn at (0.0000, 0.0000, 0.7514), Zn at (0.0058, 0.3043, 0.6439), Zn at (0.0085, 0.5043, 0.1409), Zn at (0.0126, 0.5063, 0.7976) and Zn at (0.1694, 0.3388, 0.8252).

As for the final energy: -1.6337 eV/atom. For the formation enthalpy at 0 K, the calculation gives -14 kJ per mole of atoms. The calculation puts the calculated volume at 921.9 Å³ per cell. Its theoretical density is 6.859 g cm⁻³.